Crystalline ZrTaFe at its relaxed geometry, computed with PBE.

Output
Total DFT energy (no corrections), eV/cell: -29.1
Space group: No. 107
Energy relative to the elements, eV per atom: -0.08

a b c (Å): 5.6074 5.6076 3.1497
angles (deg): 73.69 73.69 32.62
Closest atoms and distances in Å follow each position.
Fractional positions:
Fe1 0.9886 0.9886 0.0114  4 Ta 2.62, 4 Zr 2.83
Ta1 0.3539 0.3539 0.6461  4 Fe 2.62
Zr1 0.6575 0.6575 0.3425  4 Fe 2.83, 5 Ta 3.01-3.13, 4 Zr 3.15

---

Crystalline Zr2TaFe at its relaxed geometry, computed with PBE.

Output
Total DFT energy (no corrections), eV/cell: -36.7
Space group: No. 225
Energy relative to the elements, eV per atom: 0.17

a b c (Å): 4.7121 4.7121 4.7121
angles (deg): 119.97 119.97 90.05
Closest atoms and distances in Å follow each position.
Fractional positions:
Fe1 0.2500 0.7500 0.5000  8 Zr 2.89
Zr1 0.0000 0.0000 0.0000  4 Fe 2.89, 4 Ta 2.89
Zr2 0.5000 0.5000 0.0000  4 Ta 2.89, 4 Fe 2.89
Ta1 0.7500 0.2500 0.5000  8 Zr 2.89

---

Crystalline Zr3TaFe4 at its relaxed geometry, computed with PBE.

Output
Total DFT energy (no corrections), eV/cell: -72.7
Space group: No. 123
Energy relative to the elements, eV per atom: -0.17

a b c (Å): 3.1332 3.1332 12.6876
angles (deg): 90.00 90.00 90.00
Closest atoms and distances in Å follow each position.
Fractional positions:
Zr1 0.5000 0.5000 0.5000  8 Fe 2.74
Zr2 0.5000 0.5000 0.2474  8 Fe 2.73-2.78
Zr3 0.5000 0.5000 0.7526  8 Fe 2.73-2.78
Fe1 0.0000 0.0000 0.3725  8 Zr 2.73-2.74
Fe2 0.0000 0.0000 0.6275  8 Zr 2.73-2.74
Fe3 0.0000 0.0000 0.1146  4 Ta 2.65, 4 Zr 2.78, 1 Fe 2.91
Fe4 0.0000 0.0000 0.8854  4 Ta 2.65, 4 Zr 2.78, 1 Fe 2.91
Ta1 0.5000 0.5000 0.0000  8 Fe 2.65

---

Crystalline ZrTaFe at its relaxed geometry, computed with PBE.

Output
Total DFT energy (no corrections), eV/cell: -28.3
Space group: No. 216
Energy relative to the elements, eV per atom: 0.18

a b c (Å): 4.3003 4.3003 4.3003
angles (deg): 60.00 60.00 60.00
Closest atoms and distances in Å follow each position.
Fractional positions:
Zr1 0.5000 0.5000 0.5000  4 Fe 2.63
Fe1 0.2500 0.2500 0.2500  4 Zr 2.63, 4 Ta 2.63
Ta1 0.0000 0.0000 0.0000  4 Fe 2.63

---

Crystalline TbFe2 at its relaxed geometry, computed with PBE.

Output
Total DFT energy (no corrections), eV/cell: -86.7
Space group: No. 194
Energy relative to the elements, eV per atom: -0.04

a b c (Å): 5.1875 5.1875 8.3493
angles (deg): 90.00 90.00 120.00
Closest atoms and distances in Å follow each position.
Fractional positions:
Fe1 0.8354 0.1646 0.2500  6 Fe 2.56-2.63
Fe2 0.3291 0.1646 0.2500  6 Fe 2.56-2.63
Fe3 0.0000 0.0000 0.0000  6 Fe 2.56
Fe4 0.1646 0.3291 0.7500  6 Fe 2.56-2.63
Fe5 0.1646 0.8354 0.7500  6 Fe 2.56-2.63
Fe6 0.0000 0.0000 0.5000  6 Fe 2.56
Fe7 0.6709 0.8354 0.7500  6 Fe 2.56-2.63
Fe8 0.8354 0.6709 0.2500  6 Fe 2.56-2.63
Tb1 0.3333 0.6667 0.0619  12 Fe 3.01-3.04, 4 Tb 3.14-3.17
Tb2 0.3333 0.6667 0.4381  12 Fe 3.01-3.04, 4 Tb 3.14-3.17
Tb3 0.6667 0.3333 0.5619  12 Fe 3.01-3.04, 4 Tb 3.14-3.17
Tb4 0.6667 0.3333 0.9381  12 Fe 3.01-3.04, 4 Tb 3.14-3.17

---

Crystalline TbFe12 at its relaxed geometry, computed with PBE.

Output
Total DFT energy (no corrections), eV/cell: -106.2
Space group: No. 139
Energy relative to the elements, eV per atom: 0.00

a b c (Å): 4.6787 6.4169 6.4169
angles (deg): 82.36 68.62 68.62
Closest atoms and distances in Å follow each position.
Fractional positions:
Fe1 0.5000 0.7725 0.2275  8 Fe 2.42-2.59
Fe2 0.5000 0.5000 0.0000  10 Fe 2.34-2.58
Fe3 0.3584 0.6416 0.6416  9 Fe 2.39-2.59
Fe4 0.0000 0.6416 0.3584  9 Fe 2.39-2.59
Fe5 0.7275 0.7725 0.7725  8 Fe 2.42-2.59
Fe6 0.0000 0.0000 0.5000  10 Fe 2.34-2.58
Fe7 0.2725 0.2275 0.2275  8 Fe 2.42-2.59
Fe8 0.5000 0.2275 0.7725  8 Fe 2.42-2.59
Fe9 0.0000 0.3584 0.6416  9 Fe 2.39-2.59
Fe10 0.6416 0.3584 0.3584  9 Fe 2.39-2.59
Fe11 0.0000 0.5000 0.0000  10 Fe 2.34-2.58
Fe12 0.5000 0.0000 0.5000  10 Fe 2.34-2.58
Tb1 0.0000 0.0000 0.0000  20 Fe 3.03-3.21